Computed, not measured: crystalline CuNiHgPt at its relaxed geometry at the PBE level of DFT.

a b c (Å): 4.370 4.370 4.370
angles (deg): 60.00 60.00 60.00
Element x y z (fractional)
1 Cu 0.000 0.000 0.000
2 Ni 0.500 0.500 0.500
3 Hg 0.250 0.250 0.250
4 Pt 0.750 0.750 0.750

Magnetization: 0.00 μB/f.u.
Symmetry: F-43m
DFT formation energy: 0.059 eV per atom

=====

Computed, not measured: crystalline NaSnPHO4F at its relaxed geometry at the PBE level of DFT.

a b c (Å): 4.915 5.290 18.983
angles (deg): 90.00 90.00 90.00
Element x y z (fractional)
1 Na 0.235 0.250 0.007
2 Na 0.265 0.750 0.507
3 Na 0.735 0.250 0.493
4 Na 0.765 0.750 0.993
5 Sn 0.216 0.750 0.141
6 Sn 0.284 0.250 0.641
7 Sn 0.716 0.750 0.359
8 Sn 0.784 0.250 0.859
9 P 0.239 0.750 0.869
10 P 0.261 0.250 0.369
11 P 0.739 0.750 0.631
12 P 0.761 0.250 0.131
13 H 0.013 0.750 0.764
14 H 0.487 0.250 0.264
15 H 0.513 0.750 0.736
16 H 0.987 0.250 0.236
17 O 0.044 0.750 0.621
18 O 0.099 0.511 0.899
19 O 0.099 0.989 0.899
20 O 0.201 0.750 0.784
21 O 0.299 0.250 0.284
22 O 0.401 0.011 0.399
23 O 0.401 0.489 0.399
24 O 0.456 0.250 0.121
25 O 0.544 0.750 0.879
26 O 0.599 0.511 0.601
27 O 0.599 0.989 0.601
28 O 0.701 0.750 0.716
29 O 0.799 0.250 0.216
30 O 0.901 0.011 0.101
31 O 0.901 0.489 0.101
32 O 0.956 0.250 0.379
33 F 0.176 0.250 0.535
34 F 0.324 0.750 0.035
35 F 0.676 0.250 0.965
36 F 0.824 0.750 0.465

Magnetization: 0.00 μB/f.u.
E: -214.24 eV for the cell shown
Symmetry: Pnma

=====

Which value of magnetization does entry 2 give? 0.00 μB/f.u.